The following is a DFT calculation (GGA-PBE) of a relaxed structure of LiLa2Pm3Se6.

Unit cell a=7.2866 b=7.2866 c=7.3375 alpha=99.60 beta=99.60 gamma=120.13
Last column: nearest neighbours and their distance in Å.
Fractional positions:
Li1 0.0000 0.0000 0.0000  6 Se 2.90
La1 0.3347 0.6653 0.0000  6 Se 3.00-3.02
La2 0.6653 0.3347 0.0000  6 Se 3.00-3.02
Pm1 0.1678 0.8322 0.5000  6 Se 2.95-3.05
Pm2 0.8322 0.1678 0.5000  6 Se 2.95-3.05
Pm3 0.5000 0.5000 0.5000  6 Se 2.95-3.07
Se1 0.9175 0.5962 0.7508  1 Li 2.90, 3 Pm 2.95-3.05, 2 La 3.02
Se2 0.7631 0.7631 0.2491  1 Li 2.90, 3 Pm 2.95-3.07, 2 La 3.00
Se3 0.0825 0.4038 0.2492  1 Li 2.90, 3 Pm 2.95-3.05, 2 La 3.02
Se4 0.5962 0.9175 0.7508  1 Li 2.90, 3 Pm 2.95-3.05, 2 La 3.02
Se5 0.2369 0.2369 0.7509  1 Li 2.90, 3 Pm 2.95-3.07, 2 La 3.00
Se6 0.4038 0.0825 0.2492  1 Li 2.90, 3 Pm 2.95-3.05, 2 La 3.02

Summary:
The calculation puts the formation energy without anion corrections at -1.84 eV per atom. The total energy is -5.75 eV/atom. As for the space-group type: C2/m (12).

The following is a DFT calculation (GGA-PBE) of a relaxed structure of Li2La2PmSi2.

Unit cell a=4.5298 b=4.5298 c=9.4806 alpha=76.18 beta=76.18 gamma=60.00
Last column: nearest neighbours and their distance in Å.
Fractional positions:
Li1 0.6015 0.6015 0.1956  3 Si 2.62
Li2 0.3985 0.3985 0.8044  3 Si 2.62
La1 0.1318 0.1318 0.6047  3 Si 3.15, 3 Li 3.19, 3 La 3.24
La2 0.8682 0.8682 0.3953  3 Si 3.15, 3 Li 3.19, 3 La 3.24
Pm1 0.0000 0.0000 0.0000  6 Li 3.17, 6 Si 3.20
Si1 0.7343 0.7343 0.7970  3 Li 2.62
Si2 0.2657 0.2657 0.2030  3 Li 2.62

Summary:
The calculation puts the formation energy without anion corrections at -0.40 eV per atom. The total energy is -4.59 eV/atom. As for the space-group type: R-3m (166).